Below is a geometry-optimized CsKNa2Zn structure, with properties calculated at the PBE-GGA level. Values from VASP.

**Distance to the lowest polymorph of the same formula**: 0 meV per atom
**Space-group type**: P4/mmm, No. 123
**Fermi-level density of states**: 3.94 states/eV/f.u.
**Energy of formation from the pure elements**: 0.111 eV per atom

The structure in Quantum ESPRESSO input format:
```
&SYSTEM
  ibrav = 0, nat = 5, ntyp = 4
/
ATOMIC_SPECIES
Cs 132.91 Cs.upf
K 39.10 K.upf
Na 22.99 Na.upf
Zn 65.41 Zn.upf
CELL_PARAMETERS angstrom
6.246 0.000 0.000
0.000 6.246 0.000
0.000 0.000 6.584
ATOMIC_POSITIONS crystal
Cs 0.000 0.000 0.000
K 0.500 0.500 0.000
Na 0.000 0.500 0.500
Na 0.500 0.000 0.500
Zn 0.500 0.500 0.500
```

---

Below is a geometry-optimized TbPr6Er2 structure, with properties calculated at the PBE-GGA level. Values from VASP.

**Distance to the lowest polymorph of the same formula**: 0 meV per atom
**Space-group type**: C2/c, No. 15
**Fermi-level density of states**: 12.68 states/eV/f.u.
**Energy of formation from the pure elements**: 0.081 eV per atom

The structure in Quantum ESPRESSO input format:
```
&SYSTEM
  ibrav = 0, nat = 18, ntyp = 3
/
ATOMIC_SPECIES
Tb 158.93 Tb.upf
Pr 140.91 Pr.upf
Er 167.26 Er.upf
CELL_PARAMETERS angstrom
8.278 -5.968 0.000
8.278 5.968 0.000
-0.693 0.000 6.253
ATOMIC_POSITIONS crystal
Tb 0.101 0.899 0.750
Tb 0.899 0.101 0.250
Pr 0.021 0.741 0.181
Pr 0.076 0.356 0.347
Pr 0.259 0.979 0.319
Pr 0.312 0.591 0.486
Pr 0.356 0.076 0.847
Pr 0.409 0.688 0.014
Pr 0.591 0.312 0.986
Pr 0.644 0.924 0.153
Pr 0.688 0.409 0.514
Pr 0.741 0.021 0.681
Pr 0.924 0.644 0.653
Pr 0.979 0.259 0.819
Er 0.233 0.435 0.916
Er 0.435 0.233 0.416
Er 0.565 0.767 0.584
Er 0.767 0.565 0.084
```

---

Across the entries above, raw total energy takes the values -1.062, -4.634 eV/atom, respectively.